No. 1
9
Lattice="-2.9106 1.8290 1.9235 1.2460 -1.5791 3.3869 5.1803 6.8761 1.3002" Properties=species:S:1:pos:R:3 comment="La2PaMoN5 | the Alexandria database | GGA-PBE | optimized geometry" mass_density_g_cm3=8.29 space_group="P4/mmm, No. 123" pbc="T T T"
La 0.6888 2.1441 3.0370
Pa 0.0000 0.0000 0.0000
Mo 2.5901 3.4381 0.6501
N 3.2131 2.6485 2.3436
La 2.8268 4.9820 3.5736
N 1.2317 1.6349 0.3091
N 3.9486 5.2413 0.9911
N 1.1348 4.3526 1.6119
N -0.8323 0.1250 2.6552

---

No. 2
7
Lattice="-3.1779 -0.1776 -2.3337 -2.3294 -0.1419 3.1829 2.3849 6.5547 -0.4093" Properties=species:S:1:pos:R:3 comment="LaPmMoN4 | the Alexandria database | GGA-PBE | optimized geometry" mass_density_g_cm3=7.25 space_group="I4mm, No. 107" pbc="T T T"
N -0.1286 2.2300 0.0053
Mo -3.1145 6.0989 0.4396
N -1.5900 -0.0714 -1.1668
N -3.0025 4.1564 0.4349
Pm -0.2601 4.5117 0.0108
La -2.8594 1.6735 0.4290
N -1.1657 -0.0535 1.5915

---

No. 3
16
Lattice="-3.0808 1.5006 0.9590 1.7735 -3.6895 4.8683 6.2012 9.5500 4.9784" Properties=species:S:1:pos:R:3 comment="La2PmMoN4 | the Alexandria database | GGA-PBE | optimized geometry" mass_density_g_cm3=7.07 space_group="Cmcm, No. 63" pbc="T T T"
Mo 1.6207 1.4997 2.8599
Pm 4.7077 6.4471 5.0355
N 0.9965 -0.2491 3.5910
N 4.8501 4.6508 8.3038
La 3.5064 2.9735 6.6116
Mo 3.2732 5.8614 7.9458
La 6.1384 7.0268 8.7246
La -1.2445 0.3342 2.0812
N 2.3563 1.8450 4.6826
N 0.0000 0.0000 0.0000
N 3.1006 4.7750 2.4892
N 3.8975 7.6102 7.2148
La 1.3875 4.3875 4.1941
N 2.5377 5.5161 6.1231
Pm 0.1863 0.9140 5.7702
N 0.0438 2.7103 2.5020

---

No. 4
16
Lattice="-2.5973 0.0535 2.4073 3.2217 -5.4349 0.9913 7.5374 5.9272 8.0008" Properties=species:S:1:pos:R:3 comment="LaPr2MoN4 | the Alexandria database | GGA-PBE | optimized geometry" mass_density_g_cm3=7.00 space_group="Cmcm, No. 63" pbc="T T T"
N 4.3444 1.2539 7.2650
La 2.1877 -2.9970 5.0324
Mo 5.6081 0.9461 8.6353
Pr 5.4936 -0.7895 5.9449
N 0.0000 0.0000 0.0000
N 3.7687 2.9636 4.0004
Pr 2.6680 1.3353 5.4545
Pr 8.6521 1.6942 9.2975
Mo 2.5536 -0.4003 2.7641
N 3.8173 -0.7081 4.1344
N 6.1485 2.6726 9.1800
Pr -0.4904 -1.1484 2.1018
N 2.0132 -2.1268 2.2194
La 5.9740 3.5428 6.3669
N 7.2971 -0.1784 7.8772
N 0.8645 0.7242 3.5221

---

No. 5
12
Lattice="3.7942 0.0000 0.0000 0.0000 12.6373 -0.9811 0.0000 -8.1259 5.1832" Properties=species:S:1:pos:R:3 comment="LaPuMoN3 | the Alexandria database | GGA-PBE | optimized geometry" mass_density_g_cm3=7.92 space_group="P2_1/m, No. 11" pbc="T T T"
La 0.9486 0.7587 1.4554
La 2.8457 3.7527 2.7466
N 0.9486 2.2173 3.3804
N 0.9486 11.3809 -0.8678
Mo 2.8457 -1.5856 3.8974
N 0.9486 7.3861 1.7181
Mo 0.9486 6.0970 0.3047
N 2.8457 -6.8695 5.0698
Pu 2.8457 -4.8468 3.9036
N 2.8457 2.2941 0.8217
Pu 0.9486 9.3582 0.2985
N 2.8457 -2.8747 2.4840

---

No. 6
16
Lattice="-1.1849 -2.3689 2.2078 3.6743 -3.0952 -4.0419 10.0602 2.0372 7.5852" Properties=species:S:1:pos:R:3 comment="La2PuMoN4 | the Alexandria database | GGA-PBE | optimized geometry" mass_density_g_cm3=8.42 space_group="Cmcm, No. 63" pbc="T T T"
N 5.0301 1.0186 3.7926
Pu 8.0784 0.7874 5.1805
La 11.9208 -1.1987 5.1118
Mo 8.9535 -2.4351 4.8853
N 0.0000 0.0000 0.0000
N 9.4686 -1.3391 6.3378
La 0.6288 -2.2283 0.6393
N 7.1920 -1.8001 4.6212
N 2.3013 -1.2011 2.6391
La 4.8393 -1.3757 3.8140
Mo 3.5960 -0.9918 0.8658
Pu 4.4711 -4.2143 0.5706
N 10.2482 -2.2258 3.1120
La 7.7103 -2.0513 1.9372
N 3.0809 -2.0878 -0.5866
N 5.3576 -1.6268 1.1299

---

Sequential formation energy without anion corrections output: -11.107; -6.857; -7.504; -7.724; -3.242; -6.777 eV per formula unit
Sequential DOS at the Fermi energy output: 4.1; 1.5; 9.6; 5.8; 16.7; 14.1 states/eV/cell